Record 1
A plane-wave DFT calculation with PBE was carried out for TlTcS2Cl after structural relaxation.

Results
Energy above the most stable polymorph in this dataset   1.216 eV/atom
Calculated density   4.90 g/cm3

a b c (Å): 5.130 5.130 5.172
angles (deg): 90.00 90.00 90.00
Space group P4/mmm (No. 123)
Symmetry-distinct sites (fractional):
Tl (0.000, 0.000, 0.000) (multiplicity 1)
Tc (0.500, 0.500, 0.500) (multiplicity 1)
S (0.000, 0.500, 0.000) (multiplicity 2)
Cl (0.000, 0.000, 0.500) (multiplicity 1)

=====

Record 2
A plane-wave DFT calculation with PBE was carried out for TlTcS2Cl after structural relaxation.

Results
Energy above the most stable polymorph in this dataset   0.000 eV/atom
Calculated density   5.91 g/cm3

a b c (Å): 4.614 4.614 5.301
angles (deg): 90.00 90.00 90.00
Space group P4/mmm (No. 123)
Symmetry-distinct sites (fractional):
Tl (0.000, 0.000, 0.000) (multiplicity 1)
Tc (0.500, 0.500, 0.500) (multiplicity 1)
S (0.000, 0.500, 0.500) (multiplicity 2)
Cl (0.500, 0.500, 0.000) (multiplicity 1)

=====

Record 3
A plane-wave DFT calculation with PBE was carried out for Tl2TcSCl5 after structural relaxation.

Results
Calculated density   4.84 g/cm3

a b c (Å): 6.947 6.947 10.181
angles (deg): 90.00 90.00 90.00
Space group I4mm (No. 107)
Symmetry-distinct sites (fractional):
Tl (0.000, 0.500, 0.000) (multiplicity 4)
Tc (0.000, 0.000, 0.262) (multiplicity 2)
S (0.000, 0.000, 0.475) (multiplicity 2)
Cl (0.000, 0.000, 0.016) (multiplicity 2)
Cl (0.241, 0.241, 0.245) (multiplicity 8)

=====

Record 4
A plane-wave DFT calculation with PBE was carried out for TlTcSCl2 after structural relaxation.

Results
Energy above the most stable polymorph in this dataset   0.000 eV/atom
Calculated density   5.74 g/cm3

a b c (Å): 5.107 5.107 4.498
angles (deg): 90.00 90.00 90.00
Space group P4/mmm (No. 123)
Symmetry-distinct sites (fractional):
Tl (0.000, 0.000, 0.000) (multiplicity 1)
Tc (0.500, 0.500, 0.500) (multiplicity 1)
S (0.500, 0.500, 0.000) (multiplicity 1)
Cl (0.000, 0.500, 0.500) (multiplicity 2)

=====

Record 5
A plane-wave DFT calculation with PBE was carried out for TlTcSCl2 after structural relaxation.

Results
Energy above the most stable polymorph in this dataset   1.072 eV/atom
Calculated density   4.62 g/cm3

a b c (Å): 5.303 5.303 5.175
angles (deg): 90.00 90.00 90.00
Space group P4/mmm (No. 123)
Symmetry-distinct sites (fractional):
Tl (0.000, 0.000, 0.000) (multiplicity 1)
Tc (0.500, 0.500, 0.500) (multiplicity 1)
S (0.000, 0.000, 0.500) (multiplicity 1)
Cl (0.000, 0.500, 0.000) (multiplicity 2)

=====

Record 6
A plane-wave DFT calculation with PBE was carried out for VTcS2Cl after structural relaxation.

Results
Energy above the most stable polymorph in this dataset   0.000 eV/atom
Calculated density   4.05 g/cm3

a b c (Å): 4.656 4.656 4.705
angles (deg): 90.00 90.00 90.00
Space group P4/mmm (No. 123)
Symmetry-distinct sites (fractional):
V (0.000, 0.000, 0.000) (multiplicity 1)
Tc (0.500, 0.500, 0.500) (multiplicity 1)
S (0.000, 0.500, 0.000) (multiplicity 2)
Cl (0.000, 0.000, 0.500) (multiplicity 1)

=====

Record 7
A plane-wave DFT calculation with PBE was carried out for VTcSCl2 after structural relaxation.

Results
Energy above the most stable polymorph in this dataset   0.387 eV/atom
Calculated density   3.87 g/cm3

a b c (Å): 4.930 4.930 4.451
angles (deg): 90.00 90.00 90.00
Space group P4/mmm (No. 123)
Symmetry-distinct sites (fractional):
V (0.000, 0.000, 0.000) (multiplicity 1)
Tc (0.500, 0.500, 0.500) (multiplicity 1)
S (0.500, 0.500, 0.000) (multiplicity 1)
Cl (0.000, 0.500, 0.500) (multiplicity 2)

=====

Record 8
A plane-wave DFT calculation with PBE was carried out for VTcS2Cl after structural relaxation.

Results
Energy above the most stable polymorph in this dataset   0.293 eV/atom
Calculated density   4.03 g/cm3

a b c (Å): 4.605 4.605 4.828
angles (deg): 90.00 90.00 90.00
Space group P4/mmm (No. 123)
Symmetry-distinct sites (fractional):
V (0.000, 0.000, 0.000) (multiplicity 1)
Tc (0.500, 0.500, 0.500) (multiplicity 1)
S (0.000, 0.500, 0.500) (multiplicity 2)
Cl (0.500, 0.500, 0.000) (multiplicity 1)

=====

Taking the records one at a time from the top gives energy relative to the elements, uncorrected values of 4.8 -1.3 -6.5 -1.9 3.4 1.7 3.1 3.1 eV/f.u..
Taking the records one at a time from the top gives E_tot values of -3.607 -4.823 -3.884 -4.495 -3.423 -5.586 -4.843 -5.294 eV per atom.